Entry 1:
The following is a PBE-GGA calculation of a relaxed structure of Ag3OsSe, from Alexandria via LeMat-Bulk.

The structure in POSCAR format:
```
Ag3OsSe
1.0
4.9217 0.0000 0.0000
0.0000 4.9217 0.0000
0.0000 0.0000 4.9217
Ag Os Se
3 1 1
Cartesian
0.0000 0.0000 2.4609 Ag
0.0000 2.4609 0.0000 Ag
2.4609 0.0000 0.0000 Ag
2.4609 2.4609 2.4609 Os
0.0000 0.0000 0.0000 Se
```

Results
Offset from the most stable computed form ... 0 kJ/mol of formula units
Formation energy (no corrections) ... 1451 meV/atom

***

Entry 2:
The following is a PBE-GGA calculation of a relaxed structure of MnBP2Cl, from Alexandria via LeMat-Bulk.

The structure in POSCAR format:
```
MnBP2Cl
1.0
3.9843 0.0000 0.0000
0.0000 3.9843 0.0000
0.0000 0.0000 4.4901
Mn B P Cl
1 1 2 1
Cartesian
0.0000 0.0000 0.0000 Mn
1.9922 1.9922 2.2450 B
0.0000 1.9922 2.2450 P
1.9922 0.0000 2.2450 P
1.9922 1.9922 0.0000 Cl
```

Results
Offset from the most stable computed form ... 25 kJ/mol of formula units
Formation energy (no corrections) ... 1138 meV/atom

***

Entry 3:
The following is a PBE-GGA calculation of a relaxed structure of Dy3SbTe2, from Alexandria via LeMat-Bulk.

The structure in POSCAR format:
```
Dy3SbTe2
1.0
-2.1759 3.0796 6.5825
2.1759 -3.0796 6.5825
2.1759 3.0796 -6.5825
Dy Sb Te
3 1 2
Cartesian
0.0000 0.0000 0.0000 Dy
0.0000 0.0000 4.4786 Dy
0.0000 0.0000 8.6864 Dy
0.0000 3.0796 0.0000 Sb
2.1759 0.0000 2.2234 Te
0.0000 3.0796 4.3591 Te
```

Results
Formation energy (no corrections) ... -1271 meV/atom

***

Entry 4:
The following is a PBE-GGA calculation of a relaxed structure of TbPa4C5, from Alexandria via LeMat-Bulk.

The structure in POSCAR format:
```
TbPa4C5
1.0
-1.8056 2.5439 9.0106
1.8056 -2.5439 9.0106
1.8056 2.5439 -9.0106
Tb Pa C
1 4 5
Cartesian
0.0000 0.0000 0.0000 Tb
0.0000 0.0000 3.5924 Pa
0.0000 0.0000 7.2300 Pa
0.0000 0.0000 10.7913 Pa
0.0000 0.0000 14.4288 Pa
1.8056 0.0000 1.9248 C
1.8056 0.0000 5.4436 C
0.0000 2.5439 0.0000 C
0.0000 2.5439 3.5670 C
0.0000 2.5439 7.0859 C
```

Results
Formation enthalpy at 0 K ... -4.16 eV/f.u.

***

Entry 5:
The following is a PBE-GGA calculation of a relaxed structure of PrDyTh, from Alexandria via LeMat-Bulk.

The structure in POSCAR format:
```
PrDyTh
1.0
3.6076 0.0000 0.0000
-1.8038 3.1243 0.0000
0.0000 0.0000 8.8672
Pr Dy Th
1 1 1
Cartesian
0.0000 0.0000 0.0000 Pr
1.8038 1.0414 3.1205 Dy
0.0000 2.0828 5.9299 Th
```

Results
Formation enthalpy at 0 K ... 0.10 eV/f.u.
Offset from the most stable computed form ... 7 kJ/mol of formula units

***

Entry 6:
The following is a PBE-GGA calculation of a relaxed structure of Tc2HIr, from Alexandria via LeMat-Bulk.

The structure in POSCAR format:
```
Tc2HIr
1.0
0.0000 2.9635 2.9635
2.9635 0.0000 2.9635
2.9635 2.9635 0.0000
Tc H Ir
2 1 1
Cartesian
1.4818 1.4818 1.4818 Tc
4.4453 4.4453 4.4453 Tc
0.0000 0.0000 0.0000 H
2.9635 2.9635 2.9635 Ir
```

Results
Offset from the most stable computed form ... 302 kJ/mol of formula units

***

Entry 7:
The following is a PBE-GGA calculation of a relaxed structure of Dy12Sc7Cd, from Alexandria via LeMat-Bulk.

The structure in POSCAR format:
```
Dy12Sc7Cd
1.0
6.5611 3.7881 3.8226
-6.5611 3.7881 3.8226
0.0000 -7.5761 3.8226
Dy Sc Cd
12 7 1
Cartesian
-1.6795 -4.5773 3.8454 Dy
-1.7661 0.8565 2.8160 Dy
0.1413 -1.9577 2.8160 Dy
-3.1243 3.7431 3.8454 Dy
-4.8038 -0.8341 7.6224 Dy
1.6248 1.1012 2.8160 Dy
-1.6248 -1.1012 8.6518 Dy
4.8038 0.8341 3.8454 Dy
3.1243 -3.7431 7.6224 Dy
-0.1413 1.9577 8.6518 Dy
1.7661 -0.8565 8.6518 Dy
1.6795 4.5773 7.6224 Dy
0.0000 0.0000 0.0000 Sc
-2.6788 -1.5774 5.1991 Sc
-2.7055 1.5313 6.2687 Sc
0.0266 -3.1086 6.2687 Sc
-0.0266 3.1086 5.1991 Sc
2.7055 -1.5313 5.1991 Sc
2.6789 1.5774 6.2687 Sc
0.0000 0.0000 5.7339 Cd
```

Results
Formation enthalpy at 0 K ... 1.55 eV/f.u.

***

Entry 8:
The following is a PBE-GGA calculation of a relaxed structure of NbCo5B, from Alexandria via LeMat-Bulk.

The structure in POSCAR format:
```
NbCo5B
1.0
3.5452 0.0000 0.0000
0.0000 3.5452 0.0000
0.0000 0.0000 6.1842
Nb Co B
1 5 1
Cartesian
0.0000 0.0000 0.0000 Nb
0.0000 1.7726 1.9144 Co
0.0000 1.7726 4.2698 Co
1.7726 0.0000 1.9144 Co
1.7726 0.0000 4.2698 Co
1.7726 1.7726 0.0000 Co
1.7726 1.7726 3.0921 B
```

Results
Formation enthalpy at 0 K ... -0.63 eV/f.u.

***

| no. | energy (eV/atom) |
| --- | --- |
| 1 | -3.2030 |
| 2 | -4.5645 |
| 3 | -5.3065 |
| 4 | -9.2897 |
| 5 | -5.5669 |
| 6 | -7.5491 |
| 7 | -4.9454 |
| 8 | -7.5581 |